Record 1
Entry from Alexandria via LeMat-Bulk: P2PtO after structural relaxation (PBE-GGA).

Values from the calculation:
Total magnetization in μB/f.u.: 0.0
Uncorrected energy in eV for the cell shown: -88.80
Crystal system: tetragonal

CIF file:
```
data_P2PtO
_symmetry_space_group_name_H-M 'I -4 2 d'
_symmetry_Int_Tables_number 122
_symmetry_space_group_name_Hall 'I -4 2bw'
_cell_length_a 4.971
_cell_length_b 4.971
_cell_length_c 10.609
_cell_angle_alpha 90.00
_cell_angle_beta 90.00
_cell_angle_gamma 90.00
loop_
_atom_site_label
_atom_site_type_symbol
_atom_site_fract_x
_atom_site_fract_y
_atom_site_fract_z
P1 P 0.215 0.250 0.125
Pt1 Pt 0.000 0.000 0.500
O1 O 0.000 0.000 0.000
```

=====

Record 2
Entry from Alexandria via LeMat-Bulk: PPtO3 after structural relaxation (PBE-GGA).

Values from the calculation:
Total magnetization in μB/f.u.: 0.0
Uncorrected energy in eV for the cell shown: -23.97
Crystal system: cubic

CIF file:
```
data_PPtO3
_symmetry_space_group_name_H-M 'P m -3 m'
_symmetry_Int_Tables_number 221
_symmetry_space_group_name_Hall '-P 4 2 3'
_cell_length_a 3.926
_cell_length_b 3.926
_cell_length_c 3.926
_cell_angle_alpha 90.00
_cell_angle_beta 90.00
_cell_angle_gamma 90.00
loop_
_atom_site_label
_atom_site_type_symbol
_atom_site_fract_x
_atom_site_fract_y
_atom_site_fract_z
P1 P 0.000 0.000 0.000
Pt1 Pt 0.500 0.500 0.500
O1 O 0.000 0.500 0.500
```

=====

Record 3
Entry from Alexandria via LeMat-Bulk: PPt2O after structural relaxation (PBE-GGA).

Values from the calculation:
Total magnetization in μB/f.u.: 0.0
Uncorrected energy in eV for the cell shown: -91.57
Crystal system: tetragonal
Distance to the lowest polymorph of the same formula in eV/atom: 0.0000

CIF file:
```
data_PPt2O
_symmetry_space_group_name_H-M 'I -4 2 d'
_symmetry_Int_Tables_number 122
_symmetry_space_group_name_Hall 'I -4 2bw'
_cell_length_a 5.676
_cell_length_b 5.676
_cell_length_c 7.871
_cell_angle_alpha 90.00
_cell_angle_beta 90.00
_cell_angle_gamma 90.00
loop_
_atom_site_label
_atom_site_type_symbol
_atom_site_fract_x
_atom_site_fract_y
_atom_site_fract_z
P1 P 0.000 0.000 0.000
Pt1 Pt 0.246 0.750 0.625
O1 O 0.000 0.000 0.500
```

=====

Record 4
Entry from Alexandria via LeMat-Bulk: RbP2PtO8 after structural relaxation (PBE-GGA).

Values from the calculation:
Total magnetization in μB/f.u.: 0.0
Uncorrected energy in eV for the cell shown: -77.09
Crystal system: trigonal

CIF file:
```
data_RbP2PtO8
_symmetry_space_group_name_H-M 'P -3'
_symmetry_Int_Tables_number 147
_symmetry_space_group_name_Hall '-P 3'
_cell_length_a 4.8508
_cell_length_b 4.8508
_cell_length_c 8.9085
_cell_angle_alpha 90.00
_cell_angle_beta 90.00
_cell_angle_gamma 120.00
loop_
_atom_site_label
_atom_site_type_symbol
_atom_site_fract_x
_atom_site_fract_y
_atom_site_fract_z
Rb1 Rb 0.0000 0.0000 0.0000
P1 P 0.3333 0.6667 0.6916
Pt1 Pt 0.0000 0.0000 0.5000
O1 O 0.0403 0.3499 0.6327
O2 O 0.3333 0.6667 0.8608
```

=====

Record 5
Entry from Alexandria via LeMat-Bulk: RbPPtO6 after structural relaxation (PBE-GGA).

Values from the calculation:
Total magnetization in μB/f.u.: 0.0
Uncorrected energy in eV for the cell shown: -52.98
Crystal system: trigonal

CIF file:
```
data_RbPPtO6
_symmetry_space_group_name_H-M 'P 3 1 2'
_symmetry_Int_Tables_number 149
_symmetry_space_group_name_Hall 'P 3 2'
_cell_length_a 4.9612
_cell_length_b 4.9612
_cell_length_c 6.4257
_cell_angle_alpha 90.00
_cell_angle_beta 90.00
_cell_angle_gamma 120.00
loop_
_atom_site_label
_atom_site_type_symbol
_atom_site_fract_x
_atom_site_fract_y
_atom_site_fract_z
Rb1 Rb 0.0000 0.0000 0.0000
P1 P 0.6667 0.3333 0.5000
Pt1 Pt 0.3333 0.6667 0.5000
O1 O 0.4009 0.0405 0.6570
```

=====

Record 6
Entry from Alexandria via LeMat-Bulk: ReP2PtO after structural relaxation (PBE-GGA).

Values from the calculation:
Total magnetization in μB/f.u.: 0.0
Uncorrected energy in eV for the cell shown: -33.88
Crystal system: tetragonal
Distance to the lowest polymorph of the same formula in eV/atom: 0.0000

CIF file:
```
data_ReP2PtO
_symmetry_space_group_name_H-M 'P 4/m m m'
_symmetry_Int_Tables_number 123
_symmetry_space_group_name_Hall '-P 4 2'
_cell_length_a 4.723
_cell_length_b 4.723
_cell_length_c 3.666
_cell_angle_alpha 90.00
_cell_angle_beta 90.00
_cell_angle_gamma 90.00
loop_
_atom_site_label
_atom_site_type_symbol
_atom_site_fract_x
_atom_site_fract_y
_atom_site_fract_z
Re1 Re 0.000 0.000 0.000
P1 P 0.000 0.500 0.000
Pt1 Pt 0.500 0.500 0.500
O1 O 0.000 0.000 0.500
```

=====

Record 7
Entry from Alexandria via LeMat-Bulk: ReP2PtO after structural relaxation (PBE-GGA).

Values from the calculation:
Total magnetization in μB/f.u.: 1.9
Uncorrected energy in eV for the cell shown: -29.15
Crystal system: tetragonal
Distance to the lowest polymorph of the same formula in eV/atom: 0.9459

CIF file:
```
data_ReP2PtO
_symmetry_space_group_name_H-M 'P 4/m m m'
_symmetry_Int_Tables_number 123
_symmetry_space_group_name_Hall '-P 4 2'
_cell_length_a 4.745
_cell_length_b 4.745
_cell_length_c 3.732
_cell_angle_alpha 90.00
_cell_angle_beta 90.00
_cell_angle_gamma 90.00
loop_
_atom_site_label
_atom_site_type_symbol
_atom_site_fract_x
_atom_site_fract_y
_atom_site_fract_z
Re1 Re 0.000 0.000 0.000
P1 P 0.000 0.500 0.500
Pt1 Pt 0.500 0.500 0.500
O1 O 0.500 0.500 0.000
```

=====

Record 8
Entry from Alexandria via LeMat-Bulk: RePPtO2 after structural relaxation (PBE-GGA).

Values from the calculation:
Total magnetization in μB/f.u.: 2.5
Uncorrected energy in eV for the cell shown: -30.24
Crystal system: tetragonal
Distance to the lowest polymorph of the same formula in eV/atom: 1.2759

CIF file:
```
data_RePPtO2
_symmetry_space_group_name_H-M 'P 4/m m m'
_symmetry_Int_Tables_number 123
_symmetry_space_group_name_Hall '-P 4 2'
_cell_length_a 3.652
_cell_length_b 3.652
_cell_length_c 7.762
_cell_angle_alpha 90.00
_cell_angle_beta 90.00
_cell_angle_gamma 90.00
loop_
_atom_site_label
_atom_site_type_symbol
_atom_site_fract_x
_atom_site_fract_y
_atom_site_fract_z
Re1 Re 0.000 0.000 0.000
P1 P 0.500 0.500 0.000
Pt1 Pt 0.500 0.500 0.500
O1 O 0.000 0.500 0.500
```

=====

Q: What is the total magnetization in the eighth record?
A: 2.5 μB/f.u.